[1]
K2AgW | PBE-GGA | relaxed

```
K2AgW
1.0
0.000 4.115 4.115
4.115 0.000 4.115
4.115 4.115 0.000
K Ag W
2 1 1
direct
0.250 0.250 0.250
0.750 0.750 0.750
0.000 0.000 0.000
0.500 0.500 0.500
```

Computed properties:
Crystal system = cubic
Energy of formation from the pure elements = 1.548 eV per atom
Energy above the most stable polymorph in this dataset = 2.10 eV/f.u.

=====

[2]
PrHoIrPt | PBE-GGA | relaxed

```
PrHoIrPt
1.0
4.989 0.000 0.000
2.495 4.321 0.000
2.495 1.440 4.074
Pr Ir Ho Pt
1 1 1 1
direct
0.500 0.500 0.500
0.250 0.250 0.250
0.000 0.000 0.000
0.750 0.750 0.750
```

Computed properties:
Crystal system = cubic
Energy of formation from the pure elements = -0.879 eV per atom

=====

[3]
Pr2Pu3Ge4 | PBE-GGA | relaxed

```
Pr2Pu3Ge4
1.0
-5.468 0.767 -5.157
-2.192 -5.814 4.891
-3.663 5.313 4.675
Pr Pu Ge
4 6 8
direct
0.569 0.188 0.321
0.931 0.812 0.821
0.431 0.812 0.679
0.069 0.188 0.179
0.000 0.500 0.500
0.500 0.500 0.000
0.746 0.254 0.816
0.754 0.746 0.316
0.254 0.746 0.184
0.246 0.254 0.684
0.863 0.074 0.532
0.637 0.926 0.032
0.137 0.926 0.468
0.363 0.074 0.968
0.878 0.488 0.119
0.622 0.512 0.619
0.122 0.512 0.881
0.378 0.488 0.381
```

Computed properties:
Crystal system = monoclinic
Energy of formation from the pure elements = -0.590 eV per atom

=====

[4]
BeCrSb2I | PBE-GGA | relaxed

```
BeCrSb2I
1.0
-3.861 -2.099 -2.318
0.754 -4.199 2.547
-3.555 1.906 4.195
I Sb Be Cr
1 2 1 1
direct
0.000 0.000 0.500
0.000 0.500 0.000
0.500 0.000 0.000
0.500 0.500 0.500
0.000 0.000 0.000
```

Computed properties:
Crystal system = tetragonal
Formation energy from raw total energies = 889 meV/atom
Energy above the most stable polymorph in this dataset = 0.00 eV/f.u.

=====

[5]
BaLiPtI2 | PBE-GGA | relaxed

```
BaLiPtI2
1.0
5.776 0.000 0.000
0.000 5.739 0.000
0.000 0.000 5.776
I Ba Pt Li
2 1 1 1
direct
0.000 0.000 0.500
0.500 0.000 0.000
0.000 0.500 0.000
0.000 0.000 0.000
0.500 0.500 0.500
```

Computed properties:
Crystal system = tetragonal
Formation energy from raw total energies = -365 meV/atom

=====

[6]
DyY2Ir2 | PBE-GGA | relaxed

```
DyY2Ir2
1.0
5.527 0.000 0.000
0.000 5.523 -2.363
0.000 0.090 7.846
Dy Y Ir
2 4 4
direct
0.000 0.000 0.000
0.500 0.000 0.000
0.750 0.420 0.839
0.750 0.782 0.564
0.250 0.580 0.161
0.250 0.218 0.436
0.750 0.385 0.246
0.250 0.140 0.754
0.250 0.615 0.754
0.750 0.860 0.246
```

Computed properties:
Crystal system = orthorhombic
Energy of formation from the pure elements = -0.397 eV per atom

=====

[7]
K4Hf3NiSe8 | PBE-GGA | relaxed

```
K4Hf3NiSe8
1.0
7.853 0.000 0.000
0.000 8.858 0.697
-3.926 -3.924 5.559
K Hf Ni Se
4 3 1 8
direct
0.500 0.000 0.000
0.500 0.000 0.500
0.000 0.000 0.000
0.000 0.000 0.500
0.500 0.500 0.000
0.500 0.500 0.500
0.000 0.500 0.500
0.000 0.500 0.000
0.228 0.691 0.963
0.229 0.691 0.457
0.266 0.299 0.533
0.734 0.691 0.963
0.266 0.309 0.037
0.734 0.701 0.467
0.771 0.309 0.543
0.772 0.309 0.037
```

Computed properties:
Crystal system = trigonal
Formation energy from raw total energies = -1138 meV/atom

=====

[8]
FeNiBi2 | PBE-GGA | relaxed

```
FeNiBi2
1.0
-1.764 -2.192 -2.020
1.681 -2.453 -1.776
-0.939 -7.150 5.609
Ni Bi Fe
1 2 1
direct
0.500 0.500 0.500
0.099 0.099 0.702
0.901 0.901 0.298
0.000 0.000 0.000
```

Computed properties:
Crystal system = trigonal
Energy of formation from the pure elements = 0.634 eV per atom
Energy above the most stable polymorph in this dataset = 0.17 eV/f.u.

=====

[9]
Sr2EuI | PBE-GGA | relaxed

```
Sr2EuI
1.0
4.233 0.000 0.000
2.117 3.666 0.000
2.117 1.222 11.736
Eu I Sr
1 1 2
direct
0.500 0.500 0.500
0.000 0.000 0.000
0.740 0.740 0.781
0.260 0.260 0.219
```

Computed properties:
Crystal system = trigonal
Formation energy from raw total energies = -575 meV/atom

=====

[10]
LiTiSe2 | PBE-GGA | relaxed

```
LiTiSe2
1.0
-5.094 3.048 -0.428
-0.267 -1.261 -5.811
-5.602 -3.827 -1.961
Li Se Ti
2 4 2
direct
0.500 0.500 0.000
0.250 0.750 0.500
0.642 0.125 0.250
0.108 0.625 0.250
0.375 0.358 0.750
0.875 0.892 0.750
0.000 0.000 0.000
0.750 0.250 0.500
```

Computed properties:
Crystal system = tetragonal
Formation energy from raw total energies = -1020 meV/atom

=====

[11]
Ce3SmCo | PBE-GGA | relaxed

```
Ce3SmCo
1.0
5.986 -0.276 0.000
-1.644 5.713 0.000
0.000 0.000 7.617
Ce Sm Co
6 2 2
direct
0.788 0.229 0.974
0.212 0.771 0.026
0.788 0.229 0.526
0.212 0.771 0.474
0.240 0.105 0.750
0.760 0.895 0.250
0.649 0.691 0.750
0.351 0.309 0.250
0.094 0.544 0.750
0.906 0.456 0.250
```

Computed properties:
Crystal system = monoclinic
Energy of formation from the pure elements = -0.035 eV per atom
Energy above the most stable polymorph in this dataset = 0.00 eV/f.u.

=====

[12]
Ce6TcRuPb2 | PBE-GGA | relaxed

```
Ce6TcRuPb2
1.0
-2.517 5.822 4.027
-6.286 -3.804 1.570
-2.098 -1.001 7.142
Ce Tc Ru Pb
6 1 1 2
direct
0.249 0.249 0.501
0.751 0.750 0.000
0.250 0.751 0.000
0.750 0.249 0.000
0.249 0.250 0.000
0.751 0.751 0.499
0.000 0.000 0.000
0.500 0.500 0.000
0.750 0.250 0.500
0.250 0.750 0.500
```

Computed properties:
Crystal system = cubic
Energy of formation from the pure elements = -0.228 eV per atom

=====

[13]
RbLi2I2Cl | PBE-GGA | relaxed

```
RbLi2I2Cl
1.0
6.156 0.000 0.000
0.000 8.569 0.400
0.000 -2.666 8.152
Rb Li I Cl
2 4 4 2
direct
0.750 0.312 0.688
0.250 0.688 0.312
0.500 0.146 0.146
0.000 0.146 0.146
0.000 0.854 0.854
0.500 0.854 0.854
0.250 0.158 0.411
0.250 0.589 0.842
0.750 0.842 0.589
0.750 0.411 0.158
0.250 0.077 0.923
0.750 0.923 0.077
```

Computed properties:
Crystal system = orthorhombic
Formation energy from raw total energies = -1482 meV/atom

=====

[14]
ThZnCu | PBE-GGA | relaxed

```
ThZnCu
1.0
-0.287 -1.539 -4.299
2.718 -3.405 -1.397
-1.763 -4.138 -0.836
Zn Cu Th
1 1 1
direct
0.000 0.000 0.000
0.250 0.250 0.250
0.500 0.500 0.500
```

Computed properties:
Crystal system = cubic
Energy of formation from the pure elements = -0.092 eV per atom

=====

[15]
KTl2Si | PBE-GGA | relaxed

```
KTl2Si
1.0
-3.381 1.749 -1.247
-1.890 -2.601 1.477
-2.284 1.632 8.480
K Si Tl
1 1 2
direct
0.500 0.250 0.250
0.500 0.750 0.750
0.000 0.054 0.946
0.000 0.446 0.554
```

Computed properties:
Crystal system = monoclinic
Formation energy from raw total energies = 161 meV/atom
Energy above the most stable polymorph in this dataset = 0.17 eV/f.u.

=====

[16]
TaCdRu2 | PBE-GGA | relaxed

```
TaCdRu2
1.0
-6.690 1.451 -1.974
1.130 -3.265 -6.231
-3.658 -3.396 -2.957
Ru Cd Ta
4 2 2
direct
0.659 0.125 0.250
0.091 0.625 0.250
0.375 0.341 0.750
0.875 0.909 0.750
0.500 0.500 0.000
0.250 0.750 0.500
0.000 0.000 0.000
0.750 0.250 0.500
```

Computed properties:
Crystal system = tetragonal
Energy of formation from the pure elements = 0.518 eV per atom

=====

[17]
SrBe4Cl | PBE-GGA | relaxed

```
SrBe4Cl
1.0
-1.401 1.037 5.143
-2.290 4.754 1.285
-5.244 0.198 1.399
Sr Be Cl
1 4 1
direct
0.000 0.000 0.000
0.953 0.349 0.349
0.349 0.349 0.953
0.349 0.953 0.349
0.349 0.349 0.349
0.750 0.750 0.750
```

Computed properties:
Crystal system = cubic
Formation energy from raw total energies = 584 meV/atom

=====

[18]
AgHgIF2 | PBE-GGA | relaxed

```
AgHgIF2
1.0
4.575 0.000 0.000
0.000 6.573 0.355
0.000 -2.090 7.506
Ag Hg I F
2 2 2 4
direct
0.250 0.303 0.569
0.750 0.697 0.431
0.250 0.322 0.101
0.750 0.678 0.899
0.250 0.996 0.255
0.750 0.004 0.745
0.750 0.426 0.625
0.250 0.574 0.375
0.750 0.502 0.111
0.250 0.498 0.889
```

Computed properties:
Crystal system = monoclinic
Formation energy from raw total energies = -939 meV/atom

=====

[19]
TmHfGaRu | PBE-GGA | relaxed

```
TmHfGaRu
1.0
-0.520 -0.404 -4.713
-1.898 -3.951 -1.854
-4.346 0.129 -1.934
Ru Tm Hf Ga
1 1 1 1
direct
0.250 0.250 0.250
0.000 0.000 0.000
0.500 0.500 0.500
0.750 0.750 0.750
```

Computed properties:
Crystal system = cubic
Energy of formation from the pure elements = -0.452 eV per atom

=====

[20]
NdHo8Ir6 | PBE-GGA | relaxed

```
NdHo8Ir6
1.0
-1.467 7.265 1.918
-7.079 1.193 2.661
-0.365 1.260 7.542
Nd Ho Ir
1 8 6
direct
0.000 0.000 0.000
0.225 0.548 0.890
0.110 0.775 0.452
0.452 0.110 0.775
0.665 0.665 0.665
0.335 0.335 0.335
0.548 0.890 0.225
0.890 0.225 0.548
0.775 0.452 0.110
0.058 0.394 0.721
0.279 0.942 0.606
0.606 0.279 0.942
0.394 0.721 0.058
0.721 0.058 0.394
0.942 0.606 0.279
```

Computed properties:
Crystal system = trigonal
Energy of formation from the pure elements = -0.778 eV per atom

=====

Number 1: electronic total energy -0.2170 Ry/atom. Number 2: electronic total energy -0.5103 Ry/atom. Number 3: electronic total energy -0.6234 Ry/atom. Number 4: electronic total energy -0.2749 Ry/atom. Number 5: electronic total energy -0.2176 Ry/atom. Number 6: electronic total energy -0.5474 Ry/atom. Number 7: electronic total energy -0.3956 Ry/atom. Number 8: electronic total energy -0.3577 Ry/atom. Number 9: electronic total energy -0.3213 Ry/atom. Number 10: electronic total energy -0.3833 Ry/atom. Number 11: electronic total energy -0.4381 Ry/atom. Number 12: electronic total energy -0.4773 Ry/atom. Number 13: electronic total energy -0.2283 Ry/atom. Number 14: electronic total energy -0.3201 Ry/atom. Number 15: electronic total energy -0.1949 Ry/atom. Number 16: electronic total energy -0.5374 Ry/atom. Number 17: electronic total energy -0.1829 Ry/atom. Number 18: electronic total energy -0.1931 Ry/atom. Number 19: electronic total energy -0.5243 Ry/atom. Number 20: electronic total energy -0.5205 Ry/atom.